Entry 1:
The following is a SCAN calculation of a PBEsol-optimized structure of NaMoSCl2, from Alexandria.

Unit cell a=4.6878 b=4.6878 c=5.0602 alpha=90.00 beta=90.00 gamma=90.00
Fractional coordinates of all 5 atoms:
Cl (0.0000, 0.5000, 0.0000)
Mo (0.5000, 0.5000, 0.5000)
S (0.0000, 0.0000, 0.5000)
Cl (0.5000, 0.0000, 0.0000)
Na (0.0000, 0.0000, 0.0000)

Summary:
**Polymorph energy (0 for the lowest one)**: 1108 meV/atom
**Calculated total energy**: -12.6673 eV per atom
**ΔE_f (raw)**: 0.270 eV per atom

=====

Entry 2:
The following is a SCAN calculation of a PBEsol-optimized structure of CdAgRh2, from Alexandria.

Unit cell a=2.7948 b=2.7948 c=7.9160 alpha=90.00 beta=90.00 gamma=90.00
Fractional coordinates of all 4 atoms:
Ag (0.0000, 0.0000, 0.4868)
Rh (0.0000, 0.0000, 0.0193)
Cd (0.5000, 0.5000, 0.7620)
Rh (0.5000, 0.5000, 0.2319)

Summary:
**Calculated total energy**: -32.2879 eV per atom
**ΔH_f (0 K)**: 0.043 eV per atom

=====

Entry 3:
The following is a SCAN calculation of a PBEsol-optimized structure of KPN2F, from Alexandria.

Unit cell a=3.3772 b=3.3772 c=4.8445 alpha=90.00 beta=90.00 gamma=90.00
Fractional coordinates of all 5 atoms:
N (0.5000, 0.0000, 0.0000)
P (0.0000, 0.0000, 0.0000)
N (0.0000, 0.5000, 0.0000)
K (0.5000, 0.5000, 0.5000)
F (0.0000, 0.0000, 0.5000)

Summary:
**Calculated total energy**: -8.6934 eV per atom
**ΔE_f (raw)**: -0.523 eV per atom

=====

Entry 4:
The following is a SCAN calculation of a PBEsol-optimized structure of Nb9PO25, from Alexandria.

Unit cell a=3.8607 b=15.7411 c=15.7411 alpha=90.00 beta=90.00 gamma=90.00
Fractional coordinates of all 70 atoms:
Nb (0.7510, 0.1089, 0.7189)
Nb (0.7415, 0.1139, 0.1703)
O (0.2203, 0.0504, 0.9354)
Nb (0.2490, 0.3911, 0.7811)
O (0.2544, 0.6159, 0.9470)
O (0.2536, 0.2199, 0.9897)
Nb (0.7415, 0.8861, 0.8297)
O (0.7589, 0.2206, 0.6757)
O (0.2544, 0.5530, 0.1159)
O (0.2528, 0.8552, 0.8452)
Nb (0.2909, 0.5000, 0.0000)
Nb (0.2585, 0.1703, 0.8861)
O (0.2504, 0.1127, 0.7527)
Nb (0.7510, 0.7811, 0.6089)
Nb (0.7415, 0.6703, 0.3861)
O (0.2203, 0.5646, 0.5504)
O (0.7472, 0.3552, 0.3452)
O (0.7797, 0.4496, 0.5646)
O (0.7456, 0.8841, 0.5530)
O (0.7464, 0.9897, 0.7801)
O (0.2536, 0.4897, 0.2801)
O (0.2504, 0.7473, 0.6127)
O (0.2528, 0.3452, 0.6448)
O (0.7589, 0.1757, 0.2794)
O (0.7464, 0.7199, 0.4897)
O (0.7456, 0.0530, 0.6159)
Nb (0.7510, 0.2189, 0.3911)
Nb (0.2490, 0.6089, 0.2189)
O (0.7589, 0.7794, 0.3243)
Nb (0.2490, 0.2811, 0.1089)
O (0.2544, 0.3841, 0.0530)
O (0.2536, 0.7801, 0.0103)
O (0.7589, 0.8243, 0.7206)
P (0.0000, 0.0000, 0.0000)
Nb (0.7415, 0.3297, 0.6139)
O (0.7464, 0.0103, 0.2199)
O (0.2528, 0.1448, 0.1548)
O (0.7472, 0.6448, 0.6548)
O (0.2411, 0.2794, 0.8243)
Nb (0.2585, 0.8297, 0.1139)
O (0.7651, 0.5000, 0.0000)
O (0.7496, 0.6127, 0.2527)
O (0.7456, 0.1159, 0.4470)
Nb (0.7091, 0.0000, 0.5000)
O (0.7496, 0.2473, 0.1127)
O (0.7472, 0.8452, 0.1448)
Nb (0.2585, 0.6139, 0.6703)
O (0.7464, 0.2801, 0.5103)
O (0.2544, 0.4470, 0.8841)
O (0.2411, 0.7206, 0.1757)
O (0.2528, 0.6548, 0.3552)
O (0.7797, 0.5504, 0.4354)
O (0.2203, 0.9496, 0.0646)
O (0.7797, 0.0646, 0.0504)
Nb (0.2585, 0.3861, 0.3297)
O (0.7797, 0.9354, 0.9496)
O (0.7456, 0.9470, 0.3841)
O (0.2411, 0.3243, 0.2206)
P (0.0000, 0.5000, 0.5000)
Nb (0.2490, 0.7189, 0.8911)
O (0.2349, 0.0000, 0.5000)
O (0.7496, 0.7527, 0.8873)
O (0.2203, 0.4354, 0.4496)
O (0.7472, 0.1548, 0.8552)
O (0.2504, 0.8873, 0.2473)
O (0.2411, 0.6757, 0.7794)
O (0.7496, 0.3873, 0.7473)
O (0.2504, 0.2527, 0.3873)
Nb (0.7510, 0.8911, 0.2811)
O (0.2536, 0.5103, 0.7199)

Summary:
**Calculated total energy**: -15.9840 eV per atom
**ΔE_f (raw)**: -2.717 eV per atom

=====

Entry 5:
The following is a SCAN calculation of a PBEsol-optimized structure of Fe2AgRu, from Alexandria.

Unit cell a=2.7909 b=4.3333 c=5.0517 alpha=115.40 beta=106.04 gamma=90.00
Fractional coordinates of all 4 atoms:
Ag (0.2595, 0.7595, 0.5190)
Ru (0.4811, 0.4811, 0.9622)
Fe (0.0197, 0.0197, 0.0393)
Fe (0.7397, 0.2397, 0.4794)

Summary:
**Polymorph energy (0 for the lowest one)**: 17 meV/atom
**Calculated total energy**: -25.3121 eV per atom
**ΔH_f (0 K)**: 0.301 eV per atom

=====

Entry 6:
The following is a SCAN calculation of a PBEsol-optimized structure of Ta2AgMo, from Alexandria.

Unit cell a=4.5569 b=4.5569 c=4.5569 alpha=60.00 beta=60.00 gamma=60.00
Fractional coordinates of all 4 atoms:
Ta (0.0000, 0.0000, 0.0000)
Mo (0.2500, 0.2500, 0.2500)
Ta (0.7500, 0.7500, 0.7500)
Ag (0.5000, 0.5000, 0.5000)

Summary:
**Polymorph energy (0 for the lowest one)**: 174 meV/atom
**Calculated total energy**: -49.4481 eV per atom
**ΔH_f (0 K)**: 0.407 eV per atom

=====

Entry 7:
The following is a SCAN calculation of a PBEsol-optimized structure of FeCo3, from Alexandria.

Unit cell a=3.9280 b=3.9280 c=6.7903 alpha=73.19 beta=73.19 gamma=60.00
Fractional coordinates of all 8 atoms:
Co (0.0630, 0.0630, 0.8109)
Co (0.5621, 0.5621, 0.3136)
Co (0.8118, 0.8118, 0.5647)
Fe (0.6876, 0.6876, 0.9372)
Co (0.4379, 0.4379, 0.6864)
Co (0.9370, 0.9370, 0.1891)
Fe (0.3124, 0.3124, 0.0628)
Co (0.1882, 0.1882, 0.4353)

Summary:
**Calculated total energy**: -17.5752 eV per atom
**ΔH_f (0 K)**: -0.065 eV per atom

=====

Entry 8:
The following is a SCAN calculation of a PBEsol-optimized structure of LiCrAu, from Alexandria.

Unit cell a=4.3135 b=4.3135 c=4.3135 alpha=60.00 beta=60.00 gamma=60.00
Fractional coordinates of all 3 atoms:
Au (0.2500, 0.2500, 0.2500)
Cr (0.0000, 0.0000, 0.0000)
Li (0.5000, 0.5000, 0.5000)

Summary:
**Polymorph energy (0 for the lowest one)**: 125 meV/atom
**Calculated total energy**: -29.9986 eV per atom
**ΔH_f (0 K)**: -0.021 eV per atom

=====

Entry 9:
The following is a SCAN calculation of a PBEsol-optimized structure of RbNa2Te2, from Alexandria.

Unit cell a=3.5386 b=9.2307 c=9.2307 alpha=90.00 beta=90.00 gamma=90.00
Fractional coordinates of all 10 atoms:
Te (0.5000, 0.3263, 0.1737)
Na (0.0000, 0.6220, 0.1220)
Na (0.0000, 0.3780, 0.8780)
Na (0.0000, 0.8780, 0.6220)
Te (0.5000, 0.6737, 0.8263)
Rb (0.0000, 0.5000, 0.5000)
Na (0.0000, 0.1220, 0.3780)
Rb (0.0000, 0.0000, 0.0000)
Te (0.5000, 0.1737, 0.6737)
Te (0.5000, 0.8263, 0.3263)

Summary:
**Calculated total energy**: -21.7058 eV per atom
**ΔE_f (raw)**: -0.972 eV per atom

=====

Entry 10:
The following is a SCAN calculation of a PBEsol-optimized structure of CoOs2Ru, from Alexandria.

Unit cell a=3.7098 b=3.7098 c=4.5750 alpha=113.92 beta=113.92 gamma=90.00
Fractional coordinates of all 4 atoms:
Os (0.7500, 0.2500, 0.5000)
Co (0.0000, 0.0000, 0.0000)
Ru (0.5000, 0.5000, 0.0000)
Os (0.2500, 0.7500, 0.5000)

Summary:
**Polymorph energy (0 for the lowest one)**: 0 meV/atom
**Calculated total energy**: -48.7273 eV per atom
**ΔH_f (0 K)**: 0.245 eV per atom

=====

Entry 11:
The following is a SCAN calculation of a PBEsol-optimized structure of H3S, from Alexandria.

Unit cell a=3.1020 b=3.1020 c=3.1020 alpha=109.47 beta=109.47 gamma=109.47
Fractional coordinates of all 4 atoms:
S (0.0000, 0.0000, 0.0000)
H (0.5000, 0.0000, 0.5000)
H (0.5000, 0.5000, 0.0000)
H (0.0000, 0.5000, 0.5000)

Summary:
**Calculated total energy**: -4.2493 eV per atom

=====

Entry 12:
The following is a SCAN calculation of a PBEsol-optimized structure of LaMg2, from Alexandria.

Unit cell a=3.4097 b=3.4097 c=7.3466 alpha=103.42 beta=103.42 gamma=90.00
Fractional coordinates of all 3 atoms:
Mg (0.8208, 0.8208, 0.6416)
La (0.5000, 0.5000, 0.0000)
Mg (0.1792, 0.1792, 0.3584)

Summary:
**Calculated total energy**: -17.7693 eV per atom
**ΔH_f (0 K)**: -0.085 eV per atom